[1]
Entry from the Open Quantum Materials Database: a relaxed NbCuOs2 crystal (PBE).

Computed properties:
ρ ... 15.0 Mg/m³
E ... -140.0 eV/cell
Calculated formation energy ... 0.3167 eV/atom

abc: 6.2006 6.2006 6.2006
angles: 90.00 90.00 90.00
Space group F-43m (No. 216)
Symmetry-distinct sites (fractional):
Nb: 0.0000 0.0000 0.0000 x4
Cu: 0.2500 0.2500 0.2500 x4
Os: 0.0000 0.0000 0.5000 x4
Os: 0.2500 0.2500 0.7500 x4



[2]
Entry from the Open Quantum Materials Database: a relaxed Nb2CuOs crystal (PBE).

Computed properties:
ρ ... 11.7 Mg/m³
E ... -138.4 eV/cell
Calculated formation energy ... 0.1339 eV/atom

abc: 6.2963 6.2963 6.2963
angles: 90.00 90.00 90.00
Space group F-43m (No. 216)
Symmetry-distinct sites (fractional):
Nb: 0.0000 0.0000 0.0000 x4
Nb: 0.2500 0.2500 0.2500 x4
Cu: 0.0000 0.0000 0.5000 x4
Os: 0.2500 0.2500 0.7500 x4



[3]
Entry from the Open Quantum Materials Database: a relaxed NbCuOsPb crystal (PBE).

Computed properties:
Relative energy among the computed polymorphs ... 0.0 meV per atom
ρ ... 13.4 Mg/m³
E ... -109.2 eV/cell

abc: 6.4942 6.4942 6.4942
angles: 90.00 90.00 90.00
Space group F-43m (No. 216)
Symmetry-distinct sites (fractional):
Nb: 0.0000 0.0000 0.0000 x4
Cu: 0.2500 0.2500 0.2500 x4
Os: 0.2500 0.2500 0.7500 x4
Pb: 0.0000 0.0000 0.5000 x4



[4]
Entry from the Open Quantum Materials Database: a relaxed NbCuOsPb crystal (PBE).

Computed properties:
Relative energy among the computed polymorphs ... 145.3 meV per atom
ρ ... 13.4 Mg/m³
E ... -106.9 eV/cell

abc: 6.4955 6.4955 6.4955
angles: 90.00 90.00 90.00
Space group F-43m (No. 216)
Symmetry-distinct sites (fractional):
Nb: 0.0000 0.0000 0.0000 x4
Cu: 0.0000 0.0000 0.5000 x4
Os: 0.2500 0.2500 0.2500 x4
Pb: 0.2500 0.2500 0.7500 x4



[5]
Entry from the Open Quantum Materials Database: a relaxed NbCuSiOs crystal (PBE).

Computed properties:
Relative energy among the computed polymorphs ... 0.0 meV per atom
ρ ... 10.8 Mg/m³
E ... -124.1 eV/cell

abc: 6.1262 6.1262 6.1262
angles: 90.00 90.00 90.00
Space group F-43m (No. 216)
Symmetry-distinct sites (fractional):
Nb: 0.0000 0.0000 0.0000 x4
Cu: 0.2500 0.2500 0.2500 x4
Si: 0.0000 0.0000 0.5000 x4
Os: 0.2500 0.2500 0.7500 x4



[6]
Entry from the Open Quantum Materials Database: a relaxed NbCuSiOs crystal (PBE).

Computed properties:
Relative energy among the computed polymorphs ... 76.4 meV per atom
ρ ... 11.2 Mg/m³
E ... -122.9 eV/cell

abc: 6.0648 6.0648 6.0648
angles: 90.00 90.00 90.00
Space group F-43m (No. 216)
Symmetry-distinct sites (fractional):
Nb: 0.0000 0.0000 0.0000 x4
Cu: 0.2500 0.2500 0.7500 x4
Si: 0.2500 0.2500 0.2500 x4
Os: 0.0000 0.0000 0.5000 x4



[7]
Entry from the Open Quantum Materials Database: a relaxed NbCuSnOs crystal (PBE).

Computed properties:
Relative energy among the computed polymorphs ... 0.0 meV per atom
ρ ... 11.8 Mg/m³
E ... -116.0 eV/cell

abc: 6.3896 6.3896 6.3896
angles: 90.00 90.00 90.00
Space group F-43m (No. 216)
Symmetry-distinct sites (fractional):
Nb: 0.0000 0.0000 0.0000 x4
Cu: 0.2500 0.2500 0.7500 x4
Sn: 0.0000 0.0000 0.5000 x4
Os: 0.2500 0.2500 0.2500 x4



[8]
Entry from the Open Quantum Materials Database: a relaxed NbCuSnOs crystal (PBE).

Computed properties:
Relative energy among the computed polymorphs ... 286.7 meV per atom
ρ ... 12.0 Mg/m³
E ... -111.5 eV/cell

abc: 6.3643 6.3643 6.3643
angles: 90.00 90.00 90.00
Space group F-43m (No. 216)
Symmetry-distinct sites (fractional):
Nb: 0.0000 0.0000 0.0000 x4
Cu: 0.2500 0.2500 0.7500 x4
Sn: 0.2500 0.2500 0.2500 x4
Os: 0.0000 0.0000 0.5000 x4



[9]
Entry from the Open Quantum Materials Database: a relaxed Nb3CuP5 crystal (PBE).

Computed properties:
ρ ... 5.0 Mg/m³
E ... -61.3 eV/cell

abc: 5.7071 5.7071 5.8515
angles: 90.00 90.00 120.00
Space group P6/mmm (No. 191)
Symmetry-distinct sites (fractional):
Nb: 0.0000 0.5000 0.0000 x3
Cu: 0.0000 0.0000 0.5000 x1
P: 0.0000 0.0000 0.0000 x1
P: 0.3333 0.6667 0.3205 x4



[10]
Entry from the Open Quantum Materials Database: a relaxed NbCuPb2 crystal (PBE).

Computed properties:
ρ ... 10.3 Mg/m³
E ... -72.9 eV/cell

abc: 7.1581 7.1581 7.1581
angles: 90.00 90.00 90.00
Space group F-43m (No. 216)
Symmetry-distinct sites (fractional):
Nb: 0.0000 0.0000 0.0000 x4
Cu: 0.2500 0.2500 0.2500 x4
Pb: 0.0000 0.0000 0.5000 x4
Pb: 0.2500 0.2500 0.7500 x4



[11]
Entry from the Open Quantum Materials Database: a relaxed Nb2CuPb crystal (PBE).

Computed properties:
ρ ... 10.2 Mg/m³
E ... -101.9 eV/cell

abc: 6.6757 6.6757 6.6757
angles: 90.00 90.00 90.00
Space group F-43m (No. 216)
Symmetry-distinct sites (fractional):
Nb: 0.0000 0.0000 0.0000 x4
Nb: 0.2500 0.2500 0.2500 x4
Cu: 0.2500 0.2500 0.7500 x4
Pb: 0.0000 0.0000 0.5000 x4



[12]
Entry from the Open Quantum Materials Database: a relaxed NbCuPdPb crystal (PBE).

Computed properties:
Relative energy among the computed polymorphs ... 0.0 meV per atom
ρ ... 11.1 Mg/m³
E ... -87.4 eV/cell

abc: 6.5595 6.5595 6.5595
angles: 90.00 90.00 90.00
Space group F-43m (No. 216)
Symmetry-distinct sites (fractional):
Nb: 0.0000 0.0000 0.0000 x4
Cu: 0.2500 0.2500 0.7500 x4
Pd: 0.2500 0.2500 0.2500 x4
Pb: 0.0000 0.0000 0.5000 x4